Ho2Er5Sc3: optimized geometry, PBE-GGA.

a = 10.314 Å, b = 9.208 Å, c = 8.777 Å
α = 106.20°, β = 111.62°, γ = 114.70°
Fractional coordinates of all 20 atoms:
Ho  0.955  0.999  0.760
Ho  0.045  0.001  0.240
Ho  0.304  0.761  0.760
Ho  0.696  0.239  0.240
Er  0.253  0.503  0.006
Er  0.747  0.497  0.994
Er  0.964  0.714  0.427
Er  0.498  0.248  0.496
Er  0.036  0.286  0.573
Er  0.502  0.752  0.504
Er  0.926  0.597  0.747
Er  0.074  0.403  0.253
Er  0.320  0.149  0.747
Er  0.680  0.851  0.253
Sc  0.275  0.025  0.051
Sc  0.725  0.975  0.949
Sc  0.540  0.457  0.237
Sc  0.460  0.543  0.763
Sc  0.197  0.780  0.237
Sc  0.803  0.220  0.763

For the total magnetic moment, the calculation gives 0.007 μB per cell.

HoEr3Sc4: optimized geometry, PBE-GGA.

a = 3.721 Å, b = 5.436 Å, c = 10.871 Å
α = 90.00°, β = 90.00°, γ = 90.00°
Fractional coordinates of all 8 atoms:
Sc  0.000  0.000  0.500
Sc  0.000  0.500  0.749
Sc  0.000  0.000  0.000
Sc  0.000  0.500  0.251
Ho  0.500  0.500  0.000
Er  0.500  0.000  0.250
Er  0.500  0.500  0.500
Er  0.500  0.000  0.750

For the total magnetic moment, the calculation gives 0.000 μB per cell. The polymorph energy (0 for the lowest one) is 0.075 eV/atom.

Ho12Er5Sc2: optimized geometry, PBE-GGA.

a = 9.052 Å, b = 8.932 Å, c = 8.410 Å
α = 91.44°, β = 90.00°, γ = 120.45°
Fractional coordinates of all 19 atoms:
Ho  0.918  0.835  0.118
Ho  0.033  0.700  0.762
Ho  0.667  0.700  0.762
Ho  0.178  0.745  0.326
Ho  0.567  0.745  0.326
Ho  0.443  0.886  0.664
Ho  0.557  0.114  0.336
Ho  0.822  0.255  0.674
Ho  0.433  0.255  0.674
Ho  0.967  0.300  0.238
Ho  0.333  0.300  0.238
Ho  0.082  0.165  0.882
Er  0.232  0.464  0.571
Er  0.300  0.600  0.982
Er  0.000  0.000  0.500
Er  0.700  0.400  0.018
Er  0.768  0.536  0.429
Sc  0.670  0.000  0.000
Sc  0.330  0.000  0.000

For the total magnetic moment, the calculation gives 0.000 μB per cell. The polymorph energy (0 for the lowest one) is 0.033 eV/atom.

HoEr2Sc8: optimized geometry, PBE-GGA.

a = 5.478 Å, b = 8.689 Å, c = 9.107 Å
α = 61.51°, β = 72.52°, γ = 50.99°
Fractional coordinates of all 11 atoms:
Ho  0.500  0.000  0.000
Er  0.000  0.310  0.381
Er  0.000  0.690  0.619
Sc  0.775  0.097  0.257
Sc  0.775  0.354  0.743
Sc  0.243  0.499  0.000
Sc  0.500  0.798  0.405
Sc  0.500  0.202  0.595
Sc  0.757  0.501  0.000
Sc  0.225  0.646  0.257
Sc  0.225  0.903  0.743

For the total magnetic moment, the calculation gives 0.003 μB per cell.

Ho3Er4Sc4: optimized geometry, PBE-GGA.

a = 3.434 Å, b = 4.820 Å, c = 19.059 Å
α = 97.26°, β = 95.16°, γ = 89.99°
Fractional coordinates of all 11 atoms:
Ho  0.637  0.637  0.275
Ho  0.363  0.363  0.726
Ho  0.000  0.000  0.000
Er  0.547  0.547  0.094
Er  0.453  0.453  0.906
Er  0.816  0.816  0.632
Er  0.184  0.184  0.368
Sc  0.092  0.092  0.184
Sc  0.272  0.272  0.543
Sc  0.728  0.728  0.457
Sc  0.908  0.908  0.816

For the total magnetic moment, the calculation gives 0.000 μB per cell. The polymorph energy (0 for the lowest one) is 0.000 eV/atom.

HoEr7Sc2: optimized geometry, PBE-GGA.

a = 5.277 Å, b = 9.240 Å, c = 9.205 Å
α = 56.06°, β = 106.66°, γ = 73.40°
Fractional coordinates of all 10 atoms:
Ho  0.000  0.000  0.000
Er  0.000  0.203  0.202
Er  0.000  0.797  0.798
Er  0.751  0.862  0.363
Er  0.249  0.138  0.637
Er  0.752  0.636  0.139
Er  0.248  0.364  0.861
Er  0.500  0.500  0.500
Sc  0.500  0.300  0.301
Sc  0.500  0.700  0.699

For the total magnetic moment, the calculation gives 0.001 μB per cell. The polymorph energy (0 for the lowest one) is 0.000 eV/atom.

Number 1: energy of formation from the pure elements 0.212 eV per atom. Number 2: energy of formation from the pure elements 0.095 eV per atom. Number 3: energy of formation from the pure elements 0.123 eV per atom. Number 4: energy of formation from the pure elements 0.135 eV per atom. Number 5: energy of formation from the pure elements 0.049 eV per atom. Number 6: energy of formation from the pure elements 0.044 eV per atom.